VASP calculation (PBE) on an optimized crystal structure of SmYNi2.

Results
energy relative to the lowest polymorph listed for this composition = 0.000 eV per atom
formation enthalpy at 0 K = -0.40 eV per atom
size of the total moment = 0.00 μB/cell

Structure (CIF):
```
data_SmYNi2
_symmetry_space_group_name_H-M 'P 1'
_symmetry_Int_Tables_number 1
_cell_length_a 5.483
_cell_length_b 5.483
_cell_length_c 4.288
_cell_angle_alpha 90.00
_cell_angle_beta 90.00
_cell_angle_gamma 140.03
loop_
_symmetry_equiv_pos_as_xyz
'x,y,z'
loop_
_atom_site_label
_atom_site_fract_x
_atom_site_fract_y
_atom_site_fract_z
_atom_site_occupancy
Sm1 0.140 0.860 0.000 1
Y1 0.862 0.138 0.500 1
Ni1 0.427 0.573 0.000 1
Ni2 0.571 0.429 0.500 1
```